Here is an optimized crystal structure of NaCa2MoO6 from the Alexandria database. Energies are from PBE with a Hubbard U.

a b c (Å): 5.604 5.906 8.074
angles (deg): 90.00 88.16 90.00
Element x y z (fractional)
Ca (0.472, 0.434, 0.236)
Na (0.000, 0.500, 0.500)
O (0.837, 0.767, 0.913)
Ca (0.028, 0.934, 0.264)
O (0.636, 0.068, 0.281)
O (0.364, 0.932, 0.719)
O (0.276, 0.679, 0.053)
Mo (0.000, 0.500, 0.000)
O (0.776, 0.821, 0.553)
O (0.724, 0.321, 0.947)
Ca (0.528, 0.566, 0.764)
Na (0.500, 0.000, 0.000)
O (0.663, 0.267, 0.587)
O (0.163, 0.233, 0.087)
O (0.337, 0.733, 0.413)
O (0.224, 0.179, 0.447)
Mo (0.500, 0.000, 0.500)
Ca (0.972, 0.066, 0.736)
O (0.136, 0.432, 0.781)
O (0.864, 0.568, 0.219)

Calculated values
SG ... P2_1/c
Magnetization ... 2.144 μB/cell
DOS at the Fermi energy ... 4.5 states/eV/f.u.
E_tot ... -6.330 eV/atom
V ... 133.5 Å³/f.u.